w.
A relaxed Ag2PbBr crystal, computed with PBE.

Properties
Density of states at the Fermi level ... 0.791 states/eV/f.u.
Symmetry ... No. 123
Magnetization ... 0.000 μB per formula unit

Unit cell a=5.213 b=4.373 c=4.373 alpha=90.00 beta=90.00 gamma=90.00
Fractional positions:
Pb (0.500, 0.000, 0.500)
Ag (0.000, 0.000, 0.000)
Ag (0.000, 0.500, 0.500)
Br (0.500, 0.500, 0.000)

x.
A relaxed Ag2PbBr crystal, computed with PBE.

Properties
Density of states at the Fermi level ... 1.046 states/eV/f.u.
Symmetry ... No. 123
Magnetization ... 0.000 μB per formula unit

Unit cell a=3.561 b=3.561 c=7.560 alpha=90.00 beta=90.00 gamma=90.00
Fractional positions:
Br (0.500, 0.500, 0.250)
Ag (0.000, 0.000, 0.498)
Ag (0.000, 0.000, 0.002)
Pb (0.500, 0.500, 0.750)

Relative energy table, unit eV/atom: w 0.076; x 0.000

w.
A relaxed Ag2PbBr crystal, computed with PBE.

Properties
Density of states at the Fermi level ... 2.128 states/eV/f.u.
Symmetry ... No. 10
Magnetization ... 0.000 μB per formula unit

Unit cell a=4.088 b=3.776 c=6.805 alpha=92.07 beta=90.00 gamma=90.00
Fractional positions:
Ag (0.000, 0.264, 0.958)
Ag (0.000, 0.236, 0.542)
Pb (0.500, 0.750, 0.750)
Br (0.500, 0.250, 0.250)

x.
A relaxed Ag2PbBr crystal, computed with PBE.

Properties
Density of states at the Fermi level ... 0.634 states/eV/f.u.
Symmetry ... No. 12
Magnetization ... 0.000 μB per formula unit

Unit cell a=5.608 b=5.608 c=5.266 alpha=80.38 beta=80.38 gamma=38.22
Fractional positions:
Ag (0.985, 0.985, 0.045)
Ag (0.515, 0.515, 0.455)
Pb (0.250, 0.250, 0.250)
Br (0.750, 0.750, 0.750)

Relative energy table, unit eV/atom: w 0.000; x 0.042

w.
A relaxed Ag2PbBr crystal, computed with PBE.

Properties
Density of states at the Fermi level ... 1.423 states/eV/f.u.
Symmetry ... No. 99
Magnetization ... 0.000 μB per formula unit

Unit cell a=3.594 b=3.594 c=7.487 alpha=90.00 beta=90.00 gamma=90.00
Fractional positions:
Ag (0.500, 0.500, 0.223)
Ag (0.000, 0.000, 0.037)
Pb (0.500, 0.500, 0.792)
Br (0.000, 0.000, 0.448)

x.
A relaxed Ag2PbBr crystal, computed with PBE.

Properties
Density of states at the Fermi level ... 1.046 states/eV/f.u.
Symmetry ... No. 119
Magnetization ... 0.000 μB per formula unit

Unit cell a=6.269 b=6.269 c=6.269 alpha=140.54 beta=140.54 gamma=57.04
Fractional positions:
Ag (0.000, 0.000, 0.000)
Ag (0.250, 0.750, 0.500)
Br (0.500, 0.500, 0.000)
Pb (0.750, 0.250, 0.500)

Relative energy table, unit eV/atom: w 0.000; x 0.169